(1)
A plane-wave DFT calculation with PBE was carried out for AlCr2Se after structural relaxation.

The calculation puts the uncorrected formation energy at 0.282 eV per atom. The value obtained for the size of the total moment is 3.64 μB per formula unit. The theoretical density comes out at 5.91 g/cm³. The calculated volume comes out at 14.75 Å³ per atom. For the energy relative to the lowest polymorph listed for this composition, the calculation gives 277 meV/atom. As for the total energy: -6.34 eV/atom.

abc: 3.790 2.926 5.494
angles: 75.56 90.00 90.00
Element x y z (fractional)
Cr  0.000  0.150  0.001
Cr  0.000  0.350  0.499
Al  0.500  0.750  0.750
Se  0.500  0.250  0.250


(2)
A plane-wave DFT calculation with PBE was carried out for KCdOs2 after structural relaxation.

The value obtained for the size of the total moment is 0.59 μB per formula unit. The formation energy comes out at 0.9939 eV per atom. The theoretical density comes out at 12.15 g/cm³. The calculated volume comes out at 18.18 Å³ per atom. As for the total energy: -5.12 eV/atom.

abc: 10.712 10.712 10.712
angles: 15.10 15.10 15.10
Element x y z (fractional)
Cd  0.250  0.250  0.250
K  0.750  0.750  0.750
Os  0.992  0.992  0.992
Os  0.508  0.508  0.508


(3)
A plane-wave DFT calculation with PBE was carried out for SiGeS after structural relaxation.

The calculation puts the uncorrected formation energy at 0.077 eV per atom. The value obtained for the size of the total moment is 0.00 μB per formula unit. The theoretical density comes out at 3.92 g/cm³. The calculated volume comes out at 18.76 Å³ per atom. As for the total energy: -4.65 eV/atom.

abc: 5.352 6.418 6.555
angles: 90.58 90.00 90.00
Element x y z (fractional)
Si  0.538  0.265  0.634
Si  0.038  0.735  0.866
Si  0.462  0.735  0.366
Si  0.962  0.265  0.134
Ge  0.797  0.932  0.580
Ge  0.703  0.932  0.080
Ge  0.203  0.068  0.420
Ge  0.297  0.068  0.920
S  0.224  0.563  0.120
S  0.276  0.563  0.620
S  0.776  0.437  0.880
S  0.724  0.437  0.380


(4)
A plane-wave DFT calculation with PBE was carried out for Pu2Zn2Cu after structural relaxation.

The value obtained for the size of the total moment is 11.70 μB per formula unit. The formation energy comes out at 0.1649 eV per atom. The theoretical density comes out at 10.49 g/cm³. The calculated volume comes out at 21.60 Å³ per atom. As for the total energy: -6.90 eV/atom.

abc: 4.407 4.407 11.553
angles: 100.99 100.99 90.00
Element x y z (fractional)
Pu  0.830  0.830  0.659
Pu  0.580  0.080  0.159
Pu  0.920  0.420  0.841
Pu  0.170  0.170  0.341
Zn  0.436  0.936  0.872
Zn  0.686  0.686  0.372
Zn  0.314  0.314  0.628
Zn  0.064  0.564  0.128
Cu  0.500  0.500  0.000
Cu  0.250  0.750  0.500


(5)
A plane-wave DFT calculation with PBE was carried out for NaPaTcN3 after structural relaxation.

The calculation puts the uncorrected formation energy at -0.799 eV per atom. The value obtained for the size of the total moment is 0.00 μB per formula unit. The theoretical density comes out at 7.66 g/cm³. The calculated volume comes out at 14.23 Å³ per atom. As for the total energy: -8.49 eV/atom.

abc: 3.862 6.945 6.869
angles: 104.65 90.00 106.14
Element x y z (fractional)
Na  0.360  0.719  0.926
Na  0.640  0.281  0.074
Pa  0.659  0.319  0.599
Pa  0.341  0.681  0.401
Tc  0.003  0.005  0.314
Tc  0.997  0.995  0.686
N  0.842  0.685  0.209
N  0.832  0.664  0.615
N  0.505  0.009  0.297
N  0.168  0.336  0.385
N  0.495  0.991  0.703
N  0.158  0.315  0.791


(6)
A plane-wave DFT calculation with PBE was carried out for Ho12Er3Tl after structural relaxation.

The value obtained for the size of the total moment is 0.00 μB per formula unit. The formation energy comes out at -0.0250 eV per atom. The theoretical density comes out at 9.21 g/cm³. The calculated volume comes out at 30.27 Å³ per atom. As for the total energy: -4.46 eV/atom.

abc: 4.923 4.923 19.987
angles: 90.00 90.00 90.00
Element x y z (fractional)
Ho  0.500  0.500  0.000
Ho  0.500  0.500  0.245
Ho  0.500  0.500  0.500
Ho  0.500  0.500  0.755
Ho  0.500  0.000  0.122
Ho  0.500  0.000  0.374
Ho  0.500  0.000  0.626
Ho  0.500  0.000  0.878
Ho  0.000  0.500  0.122
Ho  0.000  0.500  0.374
Ho  0.000  0.500  0.626
Ho  0.000  0.500  0.878
Er  0.000  0.000  0.249
Er  0.000  0.000  0.500
Er  0.000  0.000  0.751
Tl  0.000  0.000  0.000


Repeat the fifth record exactly.
A plane-wave DFT calculation with PBE was carried out for NaPaTcN3 after structural relaxation.

The calculation puts the uncorrected formation energy at -0.799 eV per atom. The value obtained for the size of the total moment is 0.00 μB per formula unit. The theoretical density comes out at 7.66 g/cm³. The calculated volume comes out at 14.23 Å³ per atom. As for the total energy: -8.49 eV/atom.

abc: 3.862 6.945 6.869
angles: 104.65 90.00 106.14
Element x y z (fractional)
Na  0.360  0.719  0.926
Na  0.640  0.281  0.074
Pa  0.659  0.319  0.599
Pa  0.341  0.681  0.401
Tc  0.003  0.005  0.314
Tc  0.997  0.995  0.686
N  0.842  0.685  0.209
N  0.832  0.664  0.615
N  0.505  0.009  0.297
N  0.168  0.336  0.385
N  0.495  0.991  0.703
N  0.158  0.315  0.791


> What is the formula in the second record?

KCdOs2


> Number 6 is which compound?

Ho12Er3Tl